Entry 1:
A relaxed TiCo2Sn2 crystal, computed with GGA-PBE.

```
TiCo2Sn2
1.0
4.261 0.000 0.000
0.000 4.304 -0.058
0.000 0.125 9.118
Ti Co Sn
2 4 4
direct
0.750 0.250 0.666
0.250 0.750 0.334
0.250 0.250 0.501
0.750 0.750 0.180
0.250 0.250 0.820
0.750 0.750 0.499
0.750 0.250 0.988
0.250 0.750 0.671
0.250 0.750 0.012
0.750 0.250 0.329
```

Properties
formation enthalpy at 0 K: -0.281 eV per atom
size of the total moment: 0.5 μB per formula unit


Entry 2:
A relaxed NaTbCuCl5 crystal, computed with GGA-PBE.

```
NaTbCuCl5
1.0
-4.488 -4.867 -2.717
4.102 2.608 -5.252
6.247 -5.403 5.234
Na Tb Cu Cl
2 2 2 10
direct
0.371 0.629 0.250
0.629 0.371 0.750
0.000 0.000 0.500
0.000 0.000 0.000
0.691 0.309 0.250
0.309 0.691 0.750
0.099 0.901 0.250
0.901 0.099 0.750
0.950 0.335 0.140
0.050 0.665 0.860
0.665 0.050 0.360
0.335 0.950 0.640
0.736 0.606 0.437
0.264 0.394 0.563
0.394 0.264 0.063
0.606 0.736 0.937
```

Properties
E_form (uncorrected): -1672 meV per atom
size of the total moment: 0.1 μB per formula unit


Entry 3:
A relaxed Ba2ThNpN4 crystal, computed with GGA-PBE.

```
Ba2ThNpN4
1.0
-0.127 0.759 -3.604
-6.310 -0.663 0.083
1.437 6.470 1.311
Ba Th Np N
2 1 1 4
direct
0.500 0.000 0.500
0.000 0.500 0.500
0.500 0.500 0.000
0.000 0.000 0.000
0.500 0.207 0.173
0.500 0.793 0.827
0.000 0.245 0.829
0.000 0.755 0.171
```

Properties
E_form (uncorrected): -1030 meV per atom
size of the total moment: 2.4 μB per formula unit


Entry 4:
A relaxed SrPb2W crystal, computed with GGA-PBE.

```
SrPb2W
1.0
-0.590 3.502 4.128
-3.110 -1.323 4.270
2.302 -1.060 4.820
Pb Sr W
2 1 1
direct
0.000 0.000 0.000
0.250 0.250 0.250
0.500 0.500 0.500
0.750 0.750 0.750
```

Properties
formation enthalpy at 0 K: 0.925 eV per atom
size of the total moment: 3.5 μB per formula unit


Entry 5:
A relaxed Sr2Mg crystal, computed with GGA-PBE.

```
Sr2Mg
1.0
-1.169 3.185 -4.871
-3.836 -4.158 -1.798
-2.999 1.914 1.971
Mg Sr
1 2
direct
0.000 0.000 0.000
0.000 0.500 0.500
0.500 0.000 0.500
```

Properties
formation enthalpy at 0 K: 0.109 eV per atom
size of the total moment: 0.0 μB per formula unit


Entry 6:
A relaxed LiCu2F8 crystal, computed with GGA-PBE.

```
LiCu2F8
1.0
4.720 -0.368 1.026
0.570 4.966 2.425
-0.498 -0.072 5.533
Li Cu F
1 2 8
direct
0.000 0.000 0.000
0.476 0.267 0.267
0.524 0.733 0.733
0.313 0.632 0.088
0.687 0.912 0.368
0.212 0.154 0.154
0.788 0.846 0.846
0.313 0.088 0.632
0.687 0.368 0.912
0.732 0.381 0.381
0.268 0.619 0.619
```

Properties
E_form (uncorrected): -1426 meV per atom
size of the total moment: 1.1 μB per formula unit


Entry 7:
A relaxed Na3ReRh crystal, computed with GGA-PBE.

```
Na3ReRh
1.0
5.508 0.000 0.000
0.000 5.508 0.000
0.000 0.000 5.508
Re Rh Na
1 1 3
direct
0.000 0.000 0.000
0.500 0.500 0.500
0.000 0.500 0.000
0.000 0.000 0.500
0.500 0.000 0.000
```

Properties
formation enthalpy at 0 K: 2.057 eV per atom
size of the total moment: 4.9 μB per formula unit


Entry 8:
A relaxed HoPa2TiN6 crystal, computed with GGA-PBE.

```
HoPa2TiN6
1.0
5.741 0.000 0.000
2.870 4.972 0.000
2.870 1.657 4.892
Ho Pa Ti N
1 2 1 6
direct
0.799 0.799 0.602
0.527 0.527 0.420
0.023 0.023 0.931
0.310 0.310 0.070
0.597 0.209 0.241
0.209 0.953 0.241
0.953 0.597 0.241
0.405 0.696 0.757
0.695 0.143 0.757
0.143 0.405 0.757
```

Properties
E_form (uncorrected): -1369 meV per atom
size of the total moment: 0.0 μB per formula unit


Entry 9:
A relaxed Pm3Sm2DySb6 crystal, computed with GGA-PBE.

```
Pm3Sm2DySb6
1.0
4.469 0.000 0.000
0.000 8.926 0.321
-2.235 -2.567 9.389
Pm Sm Dy Sb
3 2 1 6
direct
0.500 0.500 0.000
0.833 0.167 0.665
0.167 0.833 0.335
0.834 0.667 0.668
0.166 0.333 0.332
0.500 0.000 0.000
0.335 0.917 0.670
0.667 0.582 0.334
0.665 0.083 0.330
0.000 0.245 0.000
0.000 0.755 0.000
0.333 0.418 0.666
```

Properties
E_form (uncorrected): -1173 meV per atom
size of the total moment: 0.0 μB per formula unit


Entry 10:
A relaxed Tl6InHg3 crystal, computed with GGA-PBE.

```
Tl6InHg3
1.0
6.704 -0.023 0.281
0.269 6.699 0.281
-0.024 -0.023 6.710
Tl In Hg
6 1 3
direct
0.566 0.921 0.250
0.921 0.250 0.566
0.250 0.566 0.921
0.419 0.068 0.747
0.068 0.747 0.419
0.747 0.419 0.068
0.884 0.884 0.884
0.383 0.383 0.383
0.631 0.631 0.631
0.131 0.131 0.131
```

Properties
formation enthalpy at 0 K: 0.016 eV per atom
size of the total moment: 0.0 μB per formula unit


Entry 11:
A relaxed Ti2SnPbC crystal, computed with GGA-PBE.

```
Ti2SnPbC
1.0
-4.211 2.534 -1.823
1.741 -0.908 -5.284
-2.669 -4.511 -0.105
Pb C Sn Ti
1 1 1 2
direct
0.000 0.000 0.000
0.500 0.500 0.500
0.000 0.500 0.000
0.000 0.000 0.500
0.500 0.000 0.000
```

Properties
formation enthalpy at 0 K: 2.438 eV per atom
size of the total moment: 3.5 μB per formula unit


Entry 12:
A relaxed ReP2Pt crystal, computed with GGA-PBE.

```
ReP2Pt
1.0
2.881 0.017 0.000
-1.388 2.525 0.000
0.000 0.000 8.223
P Pt Re
2 1 1
direct
0.000 0.000 0.984
0.000 0.000 0.516
0.500 0.500 0.250
0.500 0.500 0.750
```

Properties
formation enthalpy at 0 K: 0.367 eV per atom
size of the total moment: 0.0 μB per formula unit